# Th3Ge2Os

Th3Ge2Os after structural relaxation (PBE, Alexandria).

The structure in POSCAR format:
```
Th3Ge2Os
1.0
5.955 0.000 0.000
0.000 8.501 0.001
-2.978 -2.128 6.417
Th Ge Os
6 4 2
Direct
0.490 0.250 0.000
0.510 0.750 0.000
0.152 0.076 0.304
0.848 0.424 0.696
0.152 0.576 0.304
0.848 0.924 0.696
0.675 0.587 0.350
0.675 0.087 0.350
0.325 0.913 0.650
0.325 0.413 0.650
0.001 0.750 0.000
0.999 0.250 0.000
```

## Properties
- V (Å³/f.u.) = 162
- space group = C2/c (15)
- ΔH_f (0 K) (eV/atom) = -0.4961
- total magnetization (μB/f.u.) = 0.00
- energy (eV/atom) = -7.62